# Tb3Pr2Sm8, relaxed, DFT GGA-PBE
# - E: -0.1724 hartree per atom
# - Formation energy from the elements: 0.017 eV/atom
data_Tb3Pr2Sm8
_symmetry_space_group_name_H-M 'P 1'
_symmetry_Int_Tables_number 1
_cell_length_a 6.281
_cell_length_b 6.279
_cell_length_c 11.473
_cell_angle_alpha 79.50
_cell_angle_beta 89.99
_cell_angle_gamma 99.55
loop_
_symmetry_equiv_pos_as_xyz
'x,y,z'
loop_
_atom_site_label
_atom_site_type_symbol
_atom_site_fract_x
_atom_site_fract_y
_atom_site_fract_z
Tb1 Tb 0.000 0.000 0.000
Tb2 Tb 0.539 0.230 0.076
Tb3 Tb 0.461 0.770 0.924
Pr1 Pr 0.770 0.617 0.539
Pr2 Pr 0.230 0.383 0.461
Sm1 Sm 0.078 0.461 0.151
Sm2 Sm 0.922 0.539 0.849
Sm3 Sm 0.156 0.923 0.304
Sm4 Sm 0.844 0.077 0.696
Sm5 Sm 0.308 0.847 0.618
Sm6 Sm 0.382 0.308 0.773
Sm7 Sm 0.618 0.692 0.227
Sm8 Sm 0.692 0.153 0.382

=====

# Tb5Pr2Sm2, relaxed, DFT GGA-PBE
# - E: -0.1637 hartree per atom
# - Formation energy from the elements: 0.229 eV/atom
data_Tb5Pr2Sm2
_symmetry_space_group_name_H-M 'P 1'
_symmetry_Int_Tables_number 1
_cell_length_a 3.514
_cell_length_b 8.343
_cell_length_c 12.670
_cell_angle_alpha 120.76
_cell_angle_beta 97.97
_cell_angle_gamma 90.00
loop_
_symmetry_equiv_pos_as_xyz
'x,y,z'
loop_
_atom_site_label
_atom_site_type_symbol
_atom_site_fract_x
_atom_site_fract_y
_atom_site_fract_z
Tb1 Tb 0.690 0.853 0.380
Tb2 Tb 0.310 0.147 0.620
Tb3 Tb 0.902 0.542 0.803
Tb4 Tb 0.098 0.458 0.197
Tb5 Tb 0.000 0.000 0.000
Pr1 Pr 0.816 0.778 0.632
Pr2 Pr 0.184 0.222 0.368
Sm1 Sm 0.547 0.737 0.094
Sm2 Sm 0.453 0.263 0.906

=====

Respective mass density values: 7.428; 7.259 g cm⁻³.